1.
LiPmPb2, relaxed, DFT GGA-PBE; electronic total energy = -3.959 eV per atom; total magnetic moment = 0.00 μB/cell
1.0
-2.3608 1.3481 4.0126
-1.7873 -4.4823 0.4544
3.5841 -1.1754 2.5036
Pb Li Pm
2 1 1
Direct
0.5000 0.0000 0.0000
0.0000 0.5000 0.0000
0.0000 0.0000 0.5000
0.5000 0.5000 0.5000

2.
LiPmPb, relaxed, DFT GGA-PBE; electronic total energy = -3.958 eV per atom; energy above the most stable polymorph in this dataset = 0.0 meV/atom; total magnetic moment = 0.01 μB/cell
1.0
-2.4516 3.2093 -2.1927
-3.6195 -2.8298 -0.0947
-2.2429 2.6548 6.3934
Pm Li Pb
2 2 2
Direct
0.0000 0.5000 0.8182
0.5000 0.0000 0.1818
0.0000 0.0000 0.5000
0.5000 0.5000 0.5000
0.5000 0.0000 0.7361
0.0000 0.5000 0.2639

3.
LiPrPb2, relaxed, DFT GGA-PBE; electronic total energy = -3.913 eV per atom; total magnetic moment = 0.00 μB/cell
1.0
2.3337 -9.6763 0.0000
2.3337 9.6763 0.0000
0.0000 0.0000 4.7296
Pr Pb Li
2 4 2
Direct
0.3949 0.6051 0.7500
0.6051 0.3949 0.2500
0.9527 0.0473 0.2500
0.7509 0.2491 0.7500
0.2491 0.7509 0.2500
0.0473 0.9527 0.7500
0.8216 0.1784 0.2500
0.1784 0.8216 0.7500

4.
LiPrPbSe3, relaxed, DFT GGA-PBE; electronic total energy = -4.704 eV per atom; total magnetic moment = 0.00 μB/cell
1.0
2.1188 -6.7537 0.0000
2.1188 6.7537 0.0000
0.0000 0.0000 11.2411
Se Pb Li Pr
6 2 2 2
Direct
0.6412 0.3588 0.5754
0.9167 0.0833 0.7500
0.6412 0.3588 0.9246
0.3588 0.6412 0.4246
0.0833 0.9167 0.2500
0.3588 0.6412 0.0754
0.7576 0.2424 0.2500
0.2424 0.7576 0.7500
0.4767 0.5233 0.2500
0.5233 0.4767 0.7500
0.0000 0.0000 0.5000
0.0000 0.0000 0.0000

5.
Li3PrSm2Pb3, relaxed, DFT GGA-PBE; electronic total energy = -3.957 eV per atom; total magnetic moment = 0.00 μB/cell
1.0
-2.9270 0.2586 -3.8099
-1.8412 -0.4570 4.4216
-0.3431 11.4527 1.0409
Pb Sm Li Pr
3 2 3 1
Direct
0.3333 0.6667 0.1769
0.0000 0.0000 0.5000
0.3333 0.6667 0.8231
0.6667 0.3333 0.3373
0.6667 0.3333 0.6627
0.0000 0.0000 0.8080
0.3333 0.6667 0.5000
0.0000 0.0000 0.1920
0.6667 0.3333 0.0000

6.
Li3Pr2SmPb3, relaxed, DFT GGA-PBE; electronic total energy = -3.960 eV per atom; total magnetic moment = 0.00 μB/cell
1.0
4.8651 0.0000 0.0000
-2.4325 4.2133 0.0000
0.0000 0.0000 11.4297
Pr Pb Sm Li
2 3 1 3
Direct
0.3333 0.6667 0.1661
0.3333 0.6667 0.8339
0.6667 0.3333 0.0000
0.0000 0.0000 0.6670
0.0000 0.0000 0.3330
0.3333 0.6667 0.5000
0.6667 0.3333 0.3150
0.6667 0.3333 0.6850
0.0000 0.0000 0.0000

Among the records above, which one has the highest total magnetic moment?
LiPmPb